Record 1
# LaIn2Sn

Crystalline LaIn2Sn at its relaxed geometry (PBE, Alexandria via LeMat-Bulk).

Output
DOS at the Fermi energy, states/eV/atom: 0.496
DFT formation energy, eV per formula unit: -2.1

Unit cell a=4.933 b=4.720 c=4.720 alpha=90.00 beta=90.00 gamma=90.00
Fractional coordinates of all 4 atoms:
In (0.000, 0.000, 0.500)
In (0.000, 0.500, 0.000)
Sn (0.500, 0.000, 0.000)
La (0.500, 0.500, 0.500)

Record 2
# La2InSn2

Crystalline La2InSn2 at its relaxed geometry (PBE, Alexandria via LeMat-Bulk).

Output
DOS at the Fermi energy, states/eV/atom: 1.314
DFT formation energy, eV per formula unit: -0.8

Unit cell a=5.370 b=5.370 c=7.388 alpha=68.69 beta=68.69 gamma=90.00
Fractional coordinates of all 5 atoms:
In (0.000, 0.000, 0.000)
Sn (0.392, 0.392, 0.217)
Sn (0.608, 0.608, 0.783)
La (0.750, 0.250, 0.500)
La (0.250, 0.750, 0.500)

Number 1: ρ 7.36 g/cm3. Number 2: ρ 5.72 g/cm3.